{"formula": "Sm2Cd15Hg2", "functional": "PBE-GGA", "state": "optimized geometry", "lattice": [[-2.2675, -2.6092, -6.8509], [6.3649, -3.9155, -1.7439], [-2.4077, -6.9131, 2.3013]], "species": ["Sm", "Sm", "Cd", "Cd", "Cd", "Cd", "Cd", "Cd", "Cd", "Cd", "Cd", "Cd", "Cd", "Cd", "Cd", "Cd", "Cd", "Hg", "Hg"], "frac_coords": [[0.3274, 0.3274, 0.3274], [0.6726, 0.6726, 0.6726], [0.5000, 0.0000, 0.0000], [0.0000, 0.0000, 0.5000], [0.0000, 0.5000, 0.0000], [0.0000, 0.6982, 0.3018], [0.6982, 0.3018, 0.0000], [0.3018, 0.0000, 0.6982], [0.3018, 0.6982, 0.0000], [0.6982, 0.0000, 0.3018], [0.0000, 0.3018, 0.6982], [0.1647, 0.6380, 0.6380], [0.6380, 0.6380, 0.1647], [0.6380, 0.1647, 0.6380], [0.8353, 0.3620, 0.3620], [0.3620, 0.3620, 0.8353], [0.3620, 0.8353, 0.3620], [0.1052, 0.1052, 0.1052], [0.8948, 0.8948, 0.8948]], "formation_enthalpy_0k_ev_per_atom": -0.130, "magnetic_moment_mub_per_fu": 0.00, "crystal_system": "trigonal", "vol_a3_per_cell": 441.1, "energy_ev_per_cell": -26.2}